No. 1
The following is a DFT calculation (PBE) of an optimized crystal structure of TlHg4Te2.

Calculated values
M_tot ... 0.00 μB/atom
Final energy ... -0.047 hartree per atom
Formation energy without anion corrections ... 12.9 kJ per mole of atoms
Energy above the most stable polymorph in this dataset ... 191 meV/atom
Space-group type ... No. 139

Lattice parameters (Å, degrees): 8.738 8.738 8.738 139.76 139.76 58.22
Element x y z (fractional)
Tl1 0.000 0.000 0.000
Hg1 0.000 0.500 0.500
Hg2 0.206 0.206 0.000
Hg3 0.500 0.000 0.500
Hg4 0.794 0.794 0.000
Te1 0.404 0.404 0.000
Te2 0.596 0.596 0.000

No. 2
The following is a DFT calculation (PBE) of an optimized crystal structure of Tl5Hg2Te4.

Calculated values
M_tot ... 0.00 μB/atom
Final energy ... -0.091 hartree per atom
Formation energy without anion corrections ... -19.7 kJ per mole of atoms
Space-group type ... No. 12

Lattice parameters (Å, degrees): 8.789 8.789 10.225 106.54 106.54 30.20
Element x y z (fractional)
Tl1 0.000 0.000 0.000
Tl2 0.266 0.266 0.863
Tl3 0.352 0.352 0.485
Tl4 0.648 0.648 0.515
Tl5 0.734 0.734 0.137
Hg1 0.015 0.015 0.645
Hg2 0.985 0.985 0.355
Te1 0.158 0.158 0.293
Te2 0.410 0.410 0.173
Te3 0.590 0.590 0.827
Te4 0.842 0.842 0.707